1.
A geometry-optimized CeTl5S5 structure, computed with PBE.

a = 7.4391 Å, b = 7.4391 Å, c = 8.7927 Å
α = 110.23°, β = 110.23°, γ = 45.90°
Last column: nearest neighbours and their distance in Å.
Atoms (fractional coordinates):
Ce 0.0000 0.0000 0.0000  6 S 2.73-2.90
Tl 0.0000 0.0000 0.5000  4 S 3.13-3.26
Tl 0.3099 0.3099 0.6957  5 S 2.95-3.26
Tl 0.3498 0.3498 0.2016  5 S 2.99-3.18
Tl 0.6502 0.6502 0.7984  5 S 2.99-3.18
Tl 0.6901 0.6901 0.3043  5 S 2.95-3.26
S 0.1527 0.1527 0.3102  1 Ce 2.74, 2 Tl 2.95
S 0.1587 0.1587 0.8842  1 Ce 2.73, 3 Tl 2.99-3.03
S 0.5000 0.5000 0.0000  2 Ce 2.90, 4 Tl 2.95-3.18
S 0.8413 0.8413 0.1158  1 Ce 2.73, 3 Tl 2.99-3.03
S 0.8473 0.8473 0.6898  1 Ce 2.74, 2 Tl 2.95

Calculated values
Its symmetry is No. 12. The calculation puts the raw formation energy at -0.654 eV per atom. The magnetic moment is 0.00 μB/f.u.


2.
A geometry-optimized Ce2Tl4S5 structure, computed with PBE.

a = 23.5374 Å, b = 23.5374 Å, c = 23.5374 Å
α = 10.19°, β = 10.19°, γ = 10.19°
Last column: nearest neighbours and their distance in Å.
Atoms (fractional coordinates):
Ce 0.1424 0.1424 0.1424  6 S 2.75-2.96
Ce 0.8576 0.8576 0.8576  6 S 2.75-2.96
Tl 0.3120 0.3120 0.3120  3 S 2.83
Tl 0.4128 0.4128 0.4128  1 S 2.61
Tl 0.5872 0.5872 0.5872  1 S 2.61
Tl 0.6880 0.6880 0.6880  3 S 2.83
S 0.2098 0.2098 0.2098  3 Ce 2.75
S 0.3756 0.3756 0.3756  4 Tl 2.61-2.83
S 0.5000 0.5000 0.5000  6 Ce 2.96
S 0.6244 0.6244 0.6244  4 Tl 2.61-2.83
S 0.7902 0.7902 0.7902  3 Ce 2.75

Calculated values
Its symmetry is No. 166. The calculation puts the raw formation energy at -0.933 eV per atom. The magnetic moment is 2.18 μB/f.u.


3.
A geometry-optimized CeTl2S3 structure, computed with PBE.

a = 7.3053 Å, b = 7.3053 Å, c = 7.7419 Å
α = 98.86°, β = 98.86°, γ = 119.27°
Last column: nearest neighbours and their distance in Å.
Atoms (fractional coordinates):
Ce 0.1683 0.8317 0.0000  6 S 2.73-2.77
Ce 0.8317 0.1683 0.0000  6 S 2.73-2.77
Tl 0.0000 0.0000 0.5000  6 S 3.07-3.38
Tl 0.3451 0.6549 0.5000  6 S 3.08-3.39
Tl 0.5000 0.5000 0.0000  6 S 3.12-3.20
Tl 0.6549 0.3451 0.5000  6 S 3.08-3.39
S 0.0482 0.4283 0.7874  2 Ce 2.77, 1 Tl 3.08
S 0.1887 0.1887 0.1968  2 Ce 2.73
S 0.4283 0.0482 0.7874  2 Ce 2.77, 1 Tl 3.08
S 0.5717 0.9518 0.2126  2 Ce 2.77, 1 Tl 3.08
S 0.8113 0.8113 0.8032  2 Ce 2.73
S 0.9518 0.5717 0.2126  2 Ce 2.77, 1 Tl 3.08

Calculated values
Its symmetry is No. 12. The calculation puts the raw formation energy at -1.102 eV per atom. The magnetic moment is 0.00 μB/f.u.


4.
A geometry-optimized CeTlS2 structure, computed with PBE.

a = 3.5720 Å, b = 3.5720 Å, c = 7.5616 Å
α = 90.00°, β = 90.00°, γ = 90.00°
Last column: nearest neighbours and their distance in Å.
Atoms (fractional coordinates):
Ce 0.0000 0.0000 0.0000  8 S 2.97
Tl 0.0000 0.0000 0.5000  8 S 3.37, 4 Tl 3.57
S 0.5000 0.5000 0.2058  4 Ce 2.97, 1 S 3.11
S 0.5000 0.5000 0.7942  4 Ce 2.97, 1 S 3.11

Calculated values
Its symmetry is No. 123. The calculation puts the raw formation energy at -1.243 eV per atom. The magnetic moment is 0.87 μB/f.u.


5.
A geometry-optimized CeTlS2 structure, computed with PBE.

a = 4.1832 Å, b = 4.1832 Å, c = 22.7115 Å
α = 90.00°, β = 90.00°, γ = 120.00°
Last column: nearest neighbours and their distance in Å.
Atoms (fractional coordinates):
Ce 0.0000 0.0000 0.0000  6 S 2.83-2.86
Ce 0.3333 0.6667 0.6667  6 S 2.83-2.86
Ce 0.6667 0.3333 0.3333  6 S 2.83-2.86
Tl 0.0000 0.0000 0.8277  6 S 3.21-3.44
Tl 0.3333 0.6667 0.4944  6 S 3.21-3.44
Tl 0.6667 0.3333 0.1611  6 S 3.21-3.44
S 0.0000 0.0000 0.4011  3 Ce 2.86
S 0.0000 0.0000 0.6020  3 Ce 2.83
S 0.3333 0.6667 0.0678  3 Ce 2.86
S 0.3333 0.6667 0.2687  3 Ce 2.83
S 0.6667 0.3333 0.7345  3 Ce 2.86
S 0.6667 0.3333 0.9354  3 Ce 2.83

Calculated values
Its symmetry is No. 160. The calculation puts the raw formation energy at -1.377 eV per atom. The magnetic moment is 1.01 μB/f.u.


6.
A geometry-optimized CeTlS3 structure, computed with PBE.

a = 8.3352 Å, b = 8.3352 Å, c = 7.5594 Å
α = 107.38°, β = 107.38°, γ = 37.79°
Last column: nearest neighbours and their distance in Å.
Atoms (fractional coordinates):
Ce 0.0000 0.0000 0.0000  6 S 2.72-2.77
Ce 0.0000 0.0000 0.5000  6 S 2.71-2.77
Tl 0.2718 0.2718 0.7568  7 S 3.25-3.51
Tl 0.7282 0.7282 0.2432  7 S 3.25-3.51
S 0.1304 0.1304 0.3372  2 Ce 2.71-2.72
S 0.1780 0.6356 0.1886  1 S 2.47
S 0.3644 0.8220 0.8114  1 S 2.47
S 0.6356 0.1780 0.1886  1 S 2.47
S 0.8220 0.3644 0.8114  1 S 2.47
S 0.8696 0.8696 0.6628  2 Ce 2.71-2.72

Calculated values
Its symmetry is No. 12. The calculation puts the raw formation energy at -1.020 eV per atom. As for the offset from the most stable computed form: 0.000 eV/f.u. The magnetic moment is 0.14 μB/f.u.


7.
A geometry-optimized Ce3TlS6 structure, computed with PBE.

a = 8.5170 Å, b = 8.5170 Å, c = 7.1697 Å
α = 90.00°, β = 90.00°, γ = 102.24°
Last column: nearest neighbours and their distance in Å.
Atoms (fractional coordinates):
Ce 0.1020 0.8980 0.5000  7 S 2.69-2.88
Ce 0.2099 0.4172 0.4071  6 S 2.69-2.88
Ce 0.4172 0.2099 0.9071  6 S 2.69-2.88
Ce 0.5828 0.7901 0.4071  6 S 2.69-2.88
Ce 0.7901 0.5828 0.9071  6 S 2.69-2.88
Ce 0.8980 0.1020 0.0000  7 S 2.69-2.88
Tl 0.3095 0.6905 0.8964  5 S 2.92-3.22
Tl 0.6905 0.3095 0.3964  5 S 2.92-3.22
S 0.0262 0.5829 0.6376  3 Ce 2.79-2.85, 1 Tl 3.03
S 0.1287 0.1913 0.7087  4 Ce 2.81-2.88
S 0.1913 0.1287 0.2087  4 Ce 2.81-2.88
S 0.2730 0.7270 0.2982  3 Ce 2.69, 1 Tl 2.92
S 0.4171 0.9738 0.6376  3 Ce 2.79-2.85, 1 Tl 3.03
S 0.4861 0.5139 0.6397  4 Ce 2.86-3.17, 1 Tl 2.98
S 0.5139 0.4861 0.1397  4 Ce 2.86-3.17, 1 Tl 2.98
S 0.5829 0.0262 0.1376  3 Ce 2.79-2.85, 1 Tl 3.03
S 0.7270 0.2730 0.7982  3 Ce 2.69, 1 Tl 2.92
S 0.8087 0.8713 0.7087  4 Ce 2.81-2.88
S 0.8713 0.8087 0.2087  4 Ce 2.81-2.88
S 0.9738 0.4171 0.1376  3 Ce 2.79-2.85, 1 Tl 3.03

Calculated values
Its symmetry is No. 36. The calculation puts the raw formation energy at -1.602 eV per atom. The magnetic moment is 1.15 μB/f.u.


8.
A geometry-optimized Ce3Tl5S12 structure, computed with PBE.

a = 13.9850 Å, b = 13.9850 Å, c = 13.9850 Å
α = 109.47°, β = 109.47°, γ = 109.47°
Last column: nearest neighbours and their distance in Å.
Atoms (fractional coordinates):
Ce 0.1250 0.2500 0.3750  8 S 2.97-2.98
Ce 0.1250 0.3750 0.7500  8 S 2.97-2.98
Ce 0.2500 0.3750 0.1250  8 S 2.97-2.98
Ce 0.2500 0.8750 0.6250  8 S 2.97-2.98
Ce 0.3750 0.1250 0.2500  8 S 2.97-2.98
Ce 0.3750 0.7500 0.1250  8 S 2.97-2.98
Ce 0.6250 0.2500 0.8750  8 S 2.97-2.98
Ce 0.6250 0.8750 0.7500  8 S 2.97-2.98
Ce 0.7500 0.1250 0.3750  8 S 2.97-2.98
Ce 0.7500 0.6250 0.8750  8 S 2.97-2.98
Ce 0.8750 0.6250 0.2500  8 S 2.97-2.98
Ce 0.8750 0.7500 0.6250  8 S 2.97-2.98
Tl 0.0000 0.0000 0.0000  6 S 2.77
Tl 0.0000 0.0000 0.5000  6 S 2.77
Tl 0.0000 0.5000 0.0000  6 S 2.77
Tl 0.0000 0.5000 0.5000  6 S 2.77
Tl 0.1250 0.7500 0.8750  4 S 2.56
Tl 0.1250 0.8750 0.2500  4 S 2.56
Tl 0.2500 0.1250 0.8750  4 S 2.56
Tl 0.2500 0.6250 0.3750  4 S 2.56
Tl 0.3750 0.2500 0.6250  4 S 2.56
Tl 0.3750 0.6250 0.7500  4 S 2.56
Tl 0.5000 0.0000 0.0000  6 S 2.77
Tl 0.5000 0.0000 0.5000  6 S 2.77
Tl 0.5000 0.5000 0.0000  6 S 2.77
Tl 0.5000 0.5000 0.5000  6 S 2.77
Tl 0.6250 0.3750 0.2500  4 S 2.56
Tl 0.6250 0.7500 0.3750  4 S 2.56
Tl 0.7500 0.3750 0.6250  4 S 2.56
Tl 0.7500 0.8750 0.1250  4 S 2.56
Tl 0.8750 0.1250 0.7500  4 S 2.56
Tl 0.8750 0.2500 0.1250  4 S 2.56
S 0.0512 0.2251 0.1377  2 Tl 2.56-2.77
S 0.0512 0.3261 0.9135  2 Tl 2.56-2.77
S 0.0865 0.6377 0.4126  2 Tl 2.56-2.77
S 0.0865 0.9488 0.6739  2 Tl 2.56-2.77
S 0.0874 0.7251 0.6739  2 Tl 2.56-2.77
S 0.0874 0.8623 0.4135  2 Tl 2.56-2.77
S 0.1377 0.0512 0.2251  2 Tl 2.56-2.77
S 0.1377 0.5865 0.9126  2 Tl 2.56-2.77
S 0.1739 0.2251 0.5874  2 Tl 2.56-2.77
S 0.1739 0.4488 0.5865  2 Tl 2.56-2.77
S 0.2251 0.1377 0.0512  2 Tl 2.56-2.77
S 0.2251 0.5874 0.1739  2 Tl 2.56-2.77
S 0.2749 0.3261 0.9126  2 Tl 2.56-2.77
S 0.2749 0.4488 0.3623  2 Tl 2.56-2.77
S 0.3261 0.9126 0.2749  2 Tl 2.56-2.77
S 0.3261 0.9135 0.0512  2 Tl 2.56-2.77
S 0.3623 0.2749 0.4488  2 Tl 2.56-2.77
S 0.3623 0.5874 0.9135  2 Tl 2.56-2.77
S 0.4126 0.0865 0.6377  2 Tl 2.56-2.77
S 0.4126 0.8261 0.7749  2 Tl 2.56-2.77
S 0.4135 0.0874 0.8623  2 Tl 2.56-2.77
S 0.4135 0.8261 0.5512  2 Tl 2.56-2.77
S 0.4488 0.3623 0.2749  2 Tl 2.56-2.77
S 0.4488 0.5865 0.1739  2 Tl 2.56-2.77
S 0.5512 0.4135 0.8261  2 Tl 2.56-2.77
S 0.5512 0.6377 0.7251  2 Tl 2.56-2.77
S 0.5865 0.1739 0.4488  2 Tl 2.56-2.77
S 0.5865 0.9126 0.1377  2 Tl 2.56-2.77
S 0.5874 0.1739 0.2251  2 Tl 2.56-2.77
S 0.5874 0.9135 0.3623  2 Tl 2.56-2.77
S 0.6377 0.4126 0.0865  2 Tl 2.56-2.77
S 0.6377 0.7251 0.5512  2 Tl 2.56-2.77
S 0.6739 0.0865 0.9488  2 Tl 2.56-2.77
S 0.6739 0.0874 0.7251  2 Tl 2.56-2.77
S 0.7251 0.5512 0.6377  2 Tl 2.56-2.77
S 0.7251 0.6739 0.0874  2 Tl 2.56-2.77
S 0.7749 0.4126 0.8261  2 Tl 2.56-2.77
S 0.7749 0.8623 0.9488  2 Tl 2.56-2.77
S 0.8261 0.5512 0.4135  2 Tl 2.56-2.77
S 0.8261 0.7749 0.4126  2 Tl 2.56-2.77
S 0.8623 0.4135 0.0874  2 Tl 2.56-2.77
S 0.8623 0.9488 0.7749  2 Tl 2.56-2.77
S 0.9126 0.1377 0.5865  2 Tl 2.56-2.77
S 0.9126 0.2749 0.3261  2 Tl 2.56-2.77
S 0.9135 0.0512 0.3261  2 Tl 2.56-2.77
S 0.9135 0.3623 0.5874  2 Tl 2.56-2.77
S 0.9488 0.6739 0.0865  2 Tl 2.56-2.77
S 0.9488 0.7749 0.8623  2 Tl 2.56-2.77

Calculated values
Its symmetry is No. 230. The calculation puts the raw formation energy at -0.776 eV per atom. The magnetic moment is 2.00 μB/f.u.


Repeat the second record exactly.
A geometry-optimized Ce2Tl4S5 structure, computed with PBE.

a = 23.5374 Å, b = 23.5374 Å, c = 23.5374 Å
α = 10.19°, β = 10.19°, γ = 10.19°
Last column: nearest neighbours and their distance in Å.
Atoms (fractional coordinates):
Ce 0.1424 0.1424 0.1424  6 S 2.75-2.96
Ce 0.8576 0.8576 0.8576  6 S 2.75-2.96
Tl 0.3120 0.3120 0.3120  3 S 2.83
Tl 0.4128 0.4128 0.4128  1 S 2.61
Tl 0.5872 0.5872 0.5872  1 S 2.61
Tl 0.6880 0.6880 0.6880  3 S 2.83
S 0.2098 0.2098 0.2098  3 Ce 2.75
S 0.3756 0.3756 0.3756  4 Tl 2.61-2.83
S 0.5000 0.5000 0.5000  6 Ce 2.96
S 0.6244 0.6244 0.6244  4 Tl 2.61-2.83
S 0.7902 0.7902 0.7902  3 Ce 2.75

Calculated values
Its symmetry is No. 166. The calculation puts the raw formation energy at -0.933 eV per atom. The magnetic moment is 2.18 μB/f.u.